1.
Here is a relaxed structure of Ca2Zn2Ag3 from Alexandria. Energies are from GGA-PBE.

E_form, kcal/mol of atoms: -6.0

Structure (CIF):
```
data_Ca2Zn2Ag3
_cell_length_a 10.4297
_cell_length_b 4.3000
_cell_length_c 7.2999
_cell_angle_alpha 90.00
_cell_angle_beta 112.75
_cell_angle_gamma 90.00
_symmetry_space_group_name_H-M 'C 1 2/m 1'
_symmetry_Int_Tables_number 12
loop_
_symmetry_equiv_pos_as_xyz
'x,y,z'
'-x,-y,-z'
'-x,y,-z'
'x,-y,z'
'x+1/2,y+1/2,z'
'-x+1/2,-y+1/2,-z'
'-x+1/2,y+1/2,-z'
'x+1/2,-y+1/2,z'
loop_
_atom_site_label
_atom_site_fract_x
_atom_site_fract_y
_atom_site_fract_z
Ca1 0.1377 0.0000 0.2652
Zn1 0.1458 0.0000 0.7116
Ag1 0.0000 0.5000 0.5000
Ag2 0.1258 0.5000 0.9362
```


2.
Here is a relaxed structure of DyHo2Sc4 from Alexandria. Energies are from GGA-PBE.

E_form, kcal/mol of atoms: 1.6

Structure (CIF):
```
data_DyHo2Sc4
_cell_length_a 6.4977
_cell_length_b 8.3853
_cell_length_c 8.4688
_cell_angle_alpha 115.56
_cell_angle_beta 102.94
_cell_angle_gamma 101.83
_symmetry_space_group_name_H-M 'P 1'
_symmetry_Int_Tables_number 1
loop_
_symmetry_equiv_pos_as_xyz
'x,y,z'
loop_
_atom_site_label
_atom_site_fract_x
_atom_site_fract_y
_atom_site_fract_z
Dy1 0.0000 0.0000 0.0000
Dy2 0.2774 0.6170 0.7860
Ho1 0.0357 0.8411 0.5607
Ho2 0.5285 0.4901 0.3064
Ho3 0.5316 0.0678 0.0933
Ho4 0.7778 0.3314 0.9382
Sc1 0.0398 0.4129 0.3505
Sc2 0.2290 0.7206 0.1898
Sc3 0.2545 0.2917 0.8682
Sc4 0.3117 0.1659 0.4679
Sc5 0.5500 0.8780 0.6411
Sc6 0.7217 0.7447 0.1371
Sc7 0.7470 0.5432 0.7078
Sc8 0.8205 0.1411 0.5063
```


3.
Here is a relaxed structure of Y3ThFe8 from Alexandria. Energies are from GGA-PBE.

E_form, kcal/mol of atoms: -1.6

Structure (CIF):
```
data_Y3ThFe8
_cell_length_a 5.1858
_cell_length_b 5.1858
_cell_length_c 25.3356
_cell_angle_alpha 90.00
_cell_angle_beta 90.00
_cell_angle_gamma 120.00
_symmetry_space_group_name_H-M 'R 3 m'
_symmetry_Int_Tables_number 160
_symmetry_space_group_name_Hall 'R 3 -2"'
loop_
_atom_site_label
_atom_site_fract_x
_atom_site_fract_y
_atom_site_fract_z
Y1 0.0000 0.0000 0.0000
Y2 0.0000 0.0000 0.1240
Y3 0.0000 0.0000 0.4973
Th1 0.0000 0.0000 0.6236
Fe1 0.0000 0.0000 0.3118
Fe2 0.0000 0.0000 0.8106
Fe3 0.0000 0.5000 0.0616
Fe4 0.9998 0.4999 0.5608
```


4.
Here is a relaxed structure of AcAsHRu from Alexandria. Energies are from GGA-PBE.

DFT total energy, hartree per atom: -0.225

Structure (CIF):
```
data_AcAsHRu
_cell_length_a 4.2538
_cell_length_b 4.2538
_cell_length_c 8.2031
_cell_angle_alpha 90.00
_cell_angle_beta 90.00
_cell_angle_gamma 90.00
_symmetry_space_group_name_H-M 'P 4/n m m'
_symmetry_Int_Tables_number 129
loop_
_symmetry_equiv_pos_as_xyz
'x,y,z'
'-x,-y,-z'
'-y+1/2,x,z'
'y+1/2,-x,-z'
'-x+1/2,-y+1/2,z'
'x+1/2,y+1/2,-z'
'y,-x+1/2,z'
'-y,x+1/2,-z'
'x+1/2,-y,-z'
'-x+1/2,y,z'
'-y,-x,-z'
'y,x,z'
'-x,y+1/2,-z'
'x,-y+1/2,z'
'y+1/2,x+1/2,-z'
'-y+1/2,-x+1/2,z'
loop_
_atom_site_label
_atom_site_fract_x
_atom_site_fract_y
_atom_site_fract_z
Ac1 0.2500 0.2500 0.1774
As1 0.2500 0.2500 0.6561
H1 0.2500 0.7500 0.0000
Ru1 0.2500 0.7500 0.5000
```